{"formula": "KMoIr2O", "functional": "GGA+U", "state": "optimized geometry", "m_tot_mub_per_cell": 4.30, "mass_density_g_cm3": 10.52, "vol_a3_per_atom": 16.91, "e_tot_ev_per_atom": -5.402, "cell": [[-3.9241, 1.1949, 0.8564], [0.6974, -1.0418, 4.6494], [1.3390, 3.9128, 0.6759]], "species": ["Mo", "Ir", "Ir", "K", "O"], "fractional_positions": [[0.5000, 0.5000, 0.5000], [0.0000, 0.0000, 0.5000], [0.5000, 0.0000, 0.0000], [0.0000, 0.5000, 0.0000], [0.0000, 0.0000, 0.0000]]}